No. 1
# SrGa3Pd | Alexandria | GGA-PBEsol | relaxed
data_SrGa3Pd
_cell_length_a 5.473
_cell_length_b 5.473
_cell_length_c 5.473
_cell_angle_alpha 90.00
_cell_angle_beta 90.00
_cell_angle_gamma 90.00
_space_group_name_H-M_alt 'P 1'
_space_group_IT_number 1
loop_
_space_group_symop_operation_xyz
'x,y,z'
loop_
_atom_site_label
_atom_site_fract_x
_atom_site_fract_y
_atom_site_fract_z
Sr1 0.000 0.000 0.000
Ga1 0.000 0.000 0.500
Ga2 0.000 0.500 0.000
Ga3 0.500 0.000 0.000
Pd1 0.500 0.500 0.500
# - SG: Pm-3m, No. 221
# - ΔE_f: 6.9 eV/f.u.
# - DOS at the Fermi energy: 5.76 states/eV/f.u.

---

No. 2
# La4TaMn | Alexandria | GGA-PBEsol | relaxed
data_La4TaMn
_cell_length_a 6.182
_cell_length_b 6.182
_cell_length_c 6.182
_cell_angle_alpha 60.00
_cell_angle_beta 60.00
_cell_angle_gamma 60.00
_space_group_name_H-M_alt 'P 1'
_space_group_IT_number 1
loop_
_space_group_symop_operation_xyz
'x,y,z'
loop_
_atom_site_label
_atom_site_fract_x
_atom_site_fract_y
_atom_site_fract_z
La1 0.124 0.124 0.124
La2 0.124 0.124 0.627
La3 0.124 0.627 0.124
La4 0.627 0.124 0.124
Ta1 0.750 0.750 0.750
Mn1 0.500 0.500 0.500
# - SG: F-43m, No. 216
# - ΔE_f: 6.3 eV/f.u.
# - DOS at the Fermi energy: 9.11 states/eV/f.u.

---

No. 3
# SnPtW2Se | Alexandria | GGA-PBEsol | relaxed
data_SnPtW2Se
_cell_length_a 4.647
_cell_length_b 4.647
_cell_length_c 4.585
_cell_angle_alpha 90.00
_cell_angle_beta 90.00
_cell_angle_gamma 90.00
_space_group_name_H-M_alt 'P 1'
_space_group_IT_number 1
loop_
_space_group_symop_operation_xyz
'x,y,z'
loop_
_atom_site_label
_atom_site_fract_x
_atom_site_fract_y
_atom_site_fract_z
Sn1 0.000 0.000 0.000
Pt1 0.500 0.500 0.000
W1 0.000 0.500 0.500
W2 0.500 0.000 0.500
Se1 0.500 0.500 0.500
# - SG: P4/mmm, No. 123
# - ΔE_f (raw): 1342 meV/atom
# - DOS at the Fermi energy: 5.95 states/eV/f.u.

---

No. 4
# TmGaPd | Alexandria | GGA-PBEsol | relaxed
data_TmGaPd
_cell_length_a 6.731
_cell_length_b 4.375
_cell_length_c 7.493
_cell_angle_alpha 90.00
_cell_angle_beta 90.00
_cell_angle_gamma 90.00
_space_group_name_H-M_alt 'P 1'
_space_group_IT_number 1
loop_
_space_group_symop_operation_xyz
'x,y,z'
loop_
_atom_site_label
_atom_site_fract_x
_atom_site_fract_y
_atom_site_fract_z
Tm1 0.016 0.250 0.199
Tm2 0.484 0.750 0.699
Tm3 0.516 0.250 0.301
Tm4 0.984 0.750 0.801
Ga1 0.177 0.250 0.576
Ga2 0.323 0.750 0.076
Ga3 0.677 0.250 0.924
Ga4 0.823 0.750 0.424
Pd1 0.221 0.750 0.404
Pd2 0.279 0.250 0.904
Pd3 0.721 0.750 0.096
Pd4 0.779 0.250 0.596
# - SG: Pnma, No. 62
# - ΔE_f: -2.8 eV/f.u.
# - DOS at the Fermi energy: 1.47 states/eV/f.u.

---

No. 5
# TlFeTeN2 | Alexandria | GGA-PBEsol | relaxed
data_TlFeTeN2
_cell_length_a 3.857
_cell_length_b 3.857
_cell_length_c 5.274
_cell_angle_alpha 90.00
_cell_angle_beta 90.00
_cell_angle_gamma 90.00
_space_group_name_H-M_alt 'P 1'
_space_group_IT_number 1
loop_
_space_group_symop_operation_xyz
'x,y,z'
loop_
_atom_site_label
_atom_site_fract_x
_atom_site_fract_y
_atom_site_fract_z
Tl1 0.000 0.000 0.000
Fe1 0.500 0.500 0.500
Te1 0.500 0.500 0.000
N1 0.000 0.500 0.500
N2 0.500 0.000 0.500
# - SG: P4/mmm, No. 123
# - ΔE_f (raw): 958 meV/atom
# - DOS at the Fermi energy: 3.92 states/eV/f.u.

---

No. 6
# Be2CoRe | Alexandria | GGA-PBEsol | relaxed
data_Be2CoRe
_cell_length_a 4.321
_cell_length_b 4.321
_cell_length_c 4.321
_cell_angle_alpha 134.22
_cell_angle_beta 134.22
_cell_angle_gamma 66.75
_space_group_name_H-M_alt 'P 1'
_space_group_IT_number 1
loop_
_space_group_symop_operation_xyz
'x,y,z'
loop_
_atom_site_label
_atom_site_fract_x
_atom_site_fract_y
_atom_site_fract_z
Be1 0.000 0.000 0.000
Be2 0.750 0.250 0.500
Co1 0.500 0.500 0.000
Re1 0.250 0.750 0.500
# - SG: I-4m2, No. 119
# - ΔE_f: 0.0 eV/f.u.
# - DOS at the Fermi energy: 2.86 states/eV/f.u.

---

No. 7
# ZnCBr2 | Alexandria | GGA-PBEsol | relaxed
data_ZnCBr2
_cell_length_a 9.106
_cell_length_b 9.106
_cell_length_c 9.106
_cell_angle_alpha 21.17
_cell_angle_beta 21.17
_cell_angle_gamma 21.17
_space_group_name_H-M_alt 'P 1'
_space_group_IT_number 1
loop_
_space_group_symop_operation_xyz
'x,y,z'
loop_
_atom_site_label
_atom_site_fract_x
_atom_site_fract_y
_atom_site_fract_z
Zn1 0.000 0.000 0.000
C1 0.500 0.500 0.500
Br1 0.113 0.113 0.113
Br2 0.887 0.887 0.887
# - SG: R-3m, No. 166
# - Offset from the most stable computed form: 23 meV per atom
# - ΔE_f (raw): 1309 meV/atom
# - DOS at the Fermi energy: 0.48 states/eV/f.u.

---

No. 8
# IrRhBr | Alexandria | GGA-PBEsol | relaxed
data_IrRhBr
_cell_length_a 7.180
_cell_length_b 6.865
_cell_length_c 2.885
_cell_angle_alpha 84.34
_cell_angle_beta 72.09
_cell_angle_gamma 23.57
_space_group_name_H-M_alt 'P 1'
_space_group_IT_number 1
loop_
_space_group_symop_operation_xyz
'x,y,z'
loop_
_atom_site_label
_atom_site_fract_x
_atom_site_fract_y
_atom_site_fract_z
Ir1 0.000 0.000 0.000
Rh1 0.660 0.660 0.340
Br1 0.326 0.326 0.674
# - SG: Fmm2, No. 42
# - ΔE_f (raw): 756 meV/atom
# - DOS at the Fermi energy: 3.10 states/eV/f.u.

---

No. 9
# ZrSi4P | Alexandria | GGA-PBEsol | relaxed
data_ZrSi4P
_cell_length_a 5.002
_cell_length_b 5.002
_cell_length_c 5.002
_cell_angle_alpha 60.00
_cell_angle_beta 60.00
_cell_angle_gamma 60.00
_space_group_name_H-M_alt 'P 1'
_space_group_IT_number 1
loop_
_space_group_symop_operation_xyz
'x,y,z'
loop_
_atom_site_label
_atom_site_fract_x
_atom_site_fract_y
_atom_site_fract_z
Zr1 0.000 0.000 0.000
Si1 0.376 0.376 0.376
Si2 0.376 0.376 0.872
Si3 0.376 0.872 0.376
Si4 0.872 0.376 0.376
P1 0.750 0.750 0.750
# - SG: F-43m, No. 216
# - ΔE_f (raw): -105 meV/atom
# - DOS at the Fermi energy: 2.04 states/eV/f.u.

---

No. 10
# As2OsSe | Alexandria | GGA-PBEsol | relaxed
data_As2OsSe
_cell_length_a 2.915
_cell_length_b 2.915
_cell_length_c 8.343
_cell_angle_alpha 90.00
_cell_angle_beta 90.00
_cell_angle_gamma 90.00
_space_group_name_H-M_alt 'P 1'
_space_group_IT_number 1
loop_
_space_group_symop_operation_xyz
'x,y,z'
loop_
_atom_site_label
_atom_site_fract_x
_atom_site_fract_y
_atom_site_fract_z
As1 0.000 0.000 0.000
As2 0.500 0.500 0.292
Os1 0.000 0.000 0.491
Se1 0.500 0.500 0.684
# - SG: P4mm, No. 99
# - Offset from the most stable computed form: 27 meV per atom
# - ΔE_f (raw): 343 meV/atom
# - DOS at the Fermi energy: 2.09 states/eV/f.u.

---

No. 11
# CdCuTe3 | Alexandria | GGA-PBEsol | relaxed
data_CdCuTe3
_cell_length_a 5.476
_cell_length_b 5.476
_cell_length_c 5.476
_cell_angle_alpha 90.00
_cell_angle_beta 90.00
_cell_angle_gamma 90.00
_space_group_name_H-M_alt 'P 1'
_space_group_IT_number 1
loop_
_space_group_symop_operation_xyz
'x,y,z'
loop_
_atom_site_label
_atom_site_fract_x
_atom_site_fract_y
_atom_site_fract_z
Cd1 0.000 0.000 0.000
Cu1 0.500 0.500 0.500
Te1 0.000 0.000 0.500
Te2 0.000 0.500 0.000
Te3 0.500 0.000 0.000
# - SG: Pm-3m, No. 221
# - ΔE_f (raw): 988 meV/atom
# - DOS at the Fermi energy: 6.51 states/eV/f.u.

---

No. 12
# ScZn2Fe | Alexandria | GGA-PBEsol | relaxed
data_ScZn2Fe
_cell_length_a 4.787
_cell_length_b 4.787
_cell_length_c 4.787
_cell_angle_alpha 133.87
_cell_angle_beta 133.87
_cell_angle_gamma 67.29
_space_group_name_H-M_alt 'P 1'
_space_group_IT_number 1
loop_
_space_group_symop_operation_xyz
'x,y,z'
loop_
_atom_site_label
_atom_site_fract_x
_atom_site_fract_y
_atom_site_fract_z
Sc1 0.000 0.000 0.000
Zn1 0.250 0.750 0.500
Zn2 0.750 0.250 0.500
Fe1 0.500 0.500 0.000
# - SG: I4/mmm, No. 139
# - ΔE_f: -0.7 eV/f.u.
# - DOS at the Fermi energy: 2.20 states/eV/f.u.